Entry 1:
PBE Ir2Se, optimized geometry; size of the total moment = 0.000 μB per cell; energy relative to the lowest polymorph listed for this composition = 424 meV per atom; formation energy from raw total energies = 0.432 eV per atom; E = -6.64 eV/atom
1.0
3.597 0.000 0.000
0.000 3.957 0.000
0.000 0.000 6.849
Ir Se
4 2
direct
0.246 0.000 0.665
0.754 0.000 0.335
0.746 0.500 0.835
0.254 0.500 0.165
0.000 0.000 0.000
0.500 0.500 0.500



Entry 2:
PBE Ac2MgSnPb, optimized geometry; size of the total moment = 0.000 μB per cell; E = -4.00 eV/atom
1.0
-1.751 4.560 -0.533
-1.865 -1.695 -8.372
-7.445 -2.568 2.483
Pb Sn Ac Mg
2 2 4 2
direct
0.250 0.910 0.768
0.750 0.090 0.232
0.750 0.412 0.732
0.250 0.588 0.268
0.750 0.750 0.006
0.750 0.792 0.493
0.250 0.250 0.994
0.250 0.208 0.507
0.250 0.582 0.693
0.750 0.418 0.307



Entry 3:
PBE Ca2Tb4Sn3O2, optimized geometry; size of the total moment = 0.000 μB per cell; formation energy from raw total energies = -1.525 eV per atom; E = -5.57 eV/atom
1.0
-0.320 -2.170 4.204
-1.592 -3.919 -2.144
12.729 -1.069 -2.256
O Ca Tb Sn
2 2 4 3
direct
0.595 0.595 0.191
0.405 0.405 0.809
0.696 0.696 0.392
0.304 0.304 0.608
0.914 0.414 0.829
0.586 0.086 0.171
0.414 0.914 0.829
0.086 0.586 0.171
0.173 0.173 0.346
0.000 0.000 0.000
0.827 0.827 0.654



Entry 4:
PBE SrCa2P, optimized geometry; size of the total moment = 0.407 μB per cell; E = -3.36 eV/atom
1.0
4.066 0.000 0.000
0.000 4.760 -0.009
0.000 2.394 7.259
Ca P Sr
2 1 1
direct
0.000 0.076 0.973
0.500 0.417 0.291
0.000 0.273 0.579
0.500 0.734 0.657



Entry 5:
PBE LiFeCo4, optimized geometry; size of the total moment = 9.676 μB per cell; E = -6.33 eV/atom
1.0
1.958 3.352 2.618
-2.695 2.833 2.575
-0.001 -0.374 4.667
Fe Co Li
1 4 1
direct
0.750 0.750 0.750
0.875 0.375 0.375
0.375 0.375 0.875
0.375 0.875 0.375
0.375 0.375 0.375
0.000 0.000 0.000



Entry 6:
PBE Mg2AlS4, optimized geometry; size of the total moment = 0.000 μB per cell; formation energy from raw total energies = -0.899 eV per atom; E = -4.25 eV/atom
1.0
3.437 0.000 0.000
-1.718 6.155 0.000
0.000 0.000 12.118
S Mg Al
8 4 2
direct
0.500 0.000 0.500
0.009 0.018 0.250
0.779 0.558 0.376
0.779 0.558 0.124
0.221 0.442 0.624
0.500 0.000 0.000
0.991 0.982 0.750
0.221 0.442 0.876
0.127 0.255 0.073
0.873 0.745 0.927
0.127 0.255 0.427
0.873 0.745 0.573
0.372 0.745 0.250
0.628 0.255 0.750